Here is a relaxed Ac6SiGe2 crystal from Alexandria. Energies are from PBE.

DFT total energy	-4.752	eV/atom
ΔE_f (raw)	-0.384	eV/atom

a = 8.6823 Å, b = 8.6823 Å, c = 4.7515 Å
α = 90.00°, β = 90.00°, γ = 120.00°
Element x y z (fractional)
Ac 0.0774 0.3723 0.2438
Ac 0.2949 0.9226 0.2438
Ac 0.3723 0.2949 0.7562
Ac 0.6277 0.7051 0.2438
Ac 0.7051 0.0774 0.7562
Ac 0.9226 0.6277 0.7562
Si 0.0000 0.0000 0.5000
Ge 0.3333 0.6667 0.7325
Ge 0.6667 0.3333 0.2675

Here is a relaxed Pm12CdRh6 crystal from Alexandria. Energies are from PBE.

DFT total energy	-5.874	eV/atom
energy of formation from the pure elements	-0.50	eV/atom
E above lowest polymorph	0.0	meV/atom

a = 8.7852 Å, b = 8.7852 Å, c = 8.7852 Å
α = 109.47°, β = 109.47°, γ = 109.47°
Element x y z (fractional)
Pm 0.1177 0.8133 0.3044
Pm 0.1867 0.3044 0.4911
Pm 0.1867 0.6956 0.8823
Pm 0.3044 0.1177 0.8133
Pm 0.3044 0.4911 0.1867
Pm 0.4911 0.1867 0.3044
Pm 0.5089 0.8133 0.6956
Pm 0.6956 0.5089 0.8133
Pm 0.6956 0.8823 0.1867
Pm 0.8133 0.3044 0.1177
Pm 0.8133 0.6956 0.5089
Pm 0.8823 0.1867 0.6956
Cd 0.0000 0.0000 0.0000
Rh 0.1313 0.6313 0.5000
Rh 0.3687 0.5000 0.8687
Rh 0.5000 0.1313 0.6313
Rh 0.5000 0.8687 0.3687
Rh 0.6313 0.5000 0.1313
Rh 0.8687 0.3687 0.5000

Here is a relaxed TlHPb2Cl crystal from Alexandria. Energies are from PBE.

DFT total energy	-2.988	eV/atom

a = 4.6908 Å, b = 4.6908 Å, c = 5.8420 Å
α = 90.00°, β = 90.00°, γ = 90.00°
Element x y z (fractional)
Tl 0.0000 0.0000 0.0000
H 0.5000 0.5000 0.5000
Pb 0.0000 0.5000 0.5000
Pb 0.5000 0.0000 0.5000
Cl 0.5000 0.5000 0.0000

Here is a relaxed TmHfH crystal from Alexandria. Energies are from PBE.

DFT total energy	-6.077	eV/atom
E above lowest polymorph	0.0	meV/atom

a = 11.9012 Å, b = 3.3438 Å, c = 5.2301 Å
α = 90.00°, β = 90.00°, γ = 90.00°
Element x y z (fractional)
Tm 0.2010 0.2500 0.2421
Tm 0.2990 0.7500 0.7421
Tm 0.7010 0.2500 0.2579
Tm 0.7990 0.7500 0.7579
Hf 0.0386 0.2500 0.7456
Hf 0.4614 0.7500 0.2456
Hf 0.5386 0.2500 0.7544
Hf 0.9614 0.7500 0.2544
H 0.1055 0.7500 0.5048
H 0.3945 0.2500 0.0048
H 0.6055 0.7500 0.9952
H 0.8945 0.2500 0.4952

Here is a relaxed Er3TiTl3Se8 crystal from Alexandria. Energies are from PBE.

DFT total energy	-5.070	eV/atom
ΔE_f (raw)	-1.299	eV/atom

a = 9.1362 Å, b = 9.1362 Å, c = 9.1362 Å
α = 52.34°, β = 52.34°, γ = 52.34°
Element x y z (fractional)
Er 0.0000 0.5000 0.5000
Er 0.5000 0.0000 0.5000
Er 0.5000 0.5000 0.0000
Ti 0.0000 0.0000 0.0000
Tl 0.0000 0.0000 0.5000
Tl 0.0000 0.5000 0.0000
Tl 0.5000 0.0000 0.0000
Se 0.2189 0.2189 0.7551
Se 0.2189 0.7551 0.2189
Se 0.2449 0.7811 0.7811
Se 0.2652 0.2652 0.2652
Se 0.7348 0.7348 0.7348
Se 0.7551 0.2189 0.2189
Se 0.7811 0.2449 0.7811
Se 0.7811 0.7811 0.2449

Here is a relaxed TiAgOs2 crystal from Alexandria. Energies are from PBE.

DFT total energy	-7.929	eV/atom
energy of formation from the pure elements	0.37	eV/atom
E above lowest polymorph	0.0	meV/atom

a = 6.2607 Å, b = 6.2607 Å, c = 6.2607 Å
α = 90.00°, β = 90.00°, γ = 90.00°
Element x y z (fractional)
Ti 0.0000 0.0000 0.0000
Ti 0.0000 0.5000 0.5000
Ti 0.5000 0.0000 0.5000
Ti 0.5000 0.5000 0.0000
Ag 0.0000 0.0000 0.5000
Ag 0.0000 0.5000 0.0000
Ag 0.5000 0.0000 0.0000
Ag 0.5000 0.5000 0.5000
Os 0.2500 0.2500 0.2500
Os 0.2500 0.2500 0.7500
Os 0.2500 0.7500 0.2500
Os 0.2500 0.7500 0.7500
Os 0.7500 0.2500 0.2500
Os 0.7500 0.2500 0.7500
Os 0.7500 0.7500 0.2500
Os 0.7500 0.7500 0.7500

Here is a relaxed NdGaNi crystal from Alexandria. Energies are from PBE.

DFT total energy	-4.848	eV/atom
energy of formation from the pure elements	-0.32	eV/atom

a = 3.2707 Å, b = 3.2707 Å, c = 10.7771 Å
α = 90.00°, β = 90.00°, γ = 90.00°
Element x y z (fractional)
Nd 0.0000 0.0000 0.0000
Nd 0.5000 0.5000 0.5000
Ga 0.0000 0.0000 0.2885
Ga 0.5000 0.5000 0.7885
Ni 0.0000 0.0000 0.6942
Ni 0.5000 0.5000 0.1942

Here is a relaxed CaAs2SeO crystal from Alexandria. Energies are from PBE.

DFT total energy	-4.326	eV/atom
E above lowest polymorph	0.0	meV/atom
ΔE_f (raw)	-0.378	eV/atom

a = 4.3428 Å, b = 4.3428 Å, c = 5.0833 Å
α = 90.00°, β = 90.00°, γ = 90.00°
Element x y z (fractional)
Ca 0.0000 0.0000 0.0000
As 0.0000 0.5000 0.5000
As 0.5000 0.0000 0.5000
Se 0.5000 0.5000 0.0000
O 0.5000 0.5000 0.5000

Here is a relaxed LiZn7Ag3 crystal from Alexandria. Energies are from PBE.

DFT total energy	-1.765	eV/atom
energy of formation from the pure elements	0.00	eV/atom
E above lowest polymorph	0.0	meV/atom

a = 10.4545 Å, b = 10.4545 Å, c = 12.7467 Å
α = 90.00°, β = 90.00°, γ = 164.57°
Element x y z (fractional)
Li 0.0211 0.9789 0.7500
Li 0.9789 0.0211 0.2500
Zn 0.2782 0.7218 0.0861
Zn 0.2782 0.7218 0.4139
Zn 0.3843 0.6157 0.7500
Zn 0.4087 0.5913 0.1006
Zn 0.4087 0.5913 0.3994
Zn 0.4670 0.5330 0.5880
Zn 0.4670 0.5330 0.9120
Zn 0.5330 0.4670 0.0880
Zn 0.5330 0.4670 0.4120
Zn 0.5913 0.4087 0.6006
Zn 0.5913 0.4087 0.8994
Zn 0.6157 0.3843 0.2500
Zn 0.7218 0.2782 0.5861
Zn 0.7218 0.2782 0.9139
Ag 0.1490 0.8510 0.0723
Ag 0.1490 0.8510 0.4277
Ag 0.1636 0.8364 0.7500
Ag 0.8364 0.1636 0.2500
Ag 0.8510 0.1490 0.5723
Ag 0.8510 0.1490 0.9277

Here is a relaxed Cd2TcCl8 crystal from Alexandria. Energies are from PBE.

DFT total energy	-3.281	eV/atom
ΔE_f (raw)	-0.829	eV/atom

a = 8.6465 Å, b = 8.6465 Å, c = 6.3738 Å
α = 94.99°, β = 94.99°, γ = 45.63°
Element x y z (fractional)
Cd 0.1565 0.1565 0.4720
Cd 0.8435 0.8435 0.5280
Tc 0.0000 0.0000 0.0000
Cl 0.1352 0.1352 0.8646
Cl 0.1925 0.7048 0.7523
Cl 0.2952 0.8075 0.2477
Cl 0.3003 0.3003 0.3936
Cl 0.6997 0.6997 0.6064
Cl 0.7048 0.1925 0.7523
Cl 0.8075 0.2952 0.2477
Cl 0.8648 0.8648 0.1354

Here is a relaxed ZnSiAg crystal from Alexandria. Energies are from PBE.

DFT total energy	-2.894	eV/atom
E above lowest polymorph	109.3	meV/atom
ΔE_f (raw)	0.288	eV/atom

a = 4.5473 Å, b = 4.5473 Å, c = 2.8144 Å
α = 90.00°, β = 90.00°, γ = 120.00°
Element x y z (fractional)
Zn 0.0000 0.0000 0.0000
Si 0.6667 0.3333 0.9227
Ag 0.3333 0.6667 0.5693

Here is a relaxed CrPt2 crystal from Alexandria. Energies are from PBE.

DFT total energy	-7.402	eV/atom
energy of formation from the pure elements	-0.17	eV/atom

a = 2.7349 Å, b = 14.1660 Å, c = 4.4520 Å
α = 90.00°, β = 90.00°, γ = 90.00°
Element x y z (fractional)
Cr 0.0000 0.1119 0.2500
Cr 0.0000 0.8881 0.7500
Cr 0.5000 0.3881 0.7500
Cr 0.5000 0.6119 0.2500
Pt 0.0000 0.2249 0.7500
Pt 0.0000 0.4472 0.2500
Pt 0.0000 0.5528 0.7500
Pt 0.0000 0.7751 0.2500
Pt 0.5000 0.0528 0.7500
Pt 0.5000 0.2751 0.2500
Pt 0.5000 0.7249 0.7500
Pt 0.5000 0.9472 0.2500

Here is a relaxed KNpHgTe3 crystal from Alexandria. Energies are from PBE.

DFT total energy	-4.575	eV/atom
ΔE_f (raw)	-0.614	eV/atom

a = 9.2043 Å, b = 4.5955 Å, c = 10.9301 Å
α = 90.00°, β = 107.46°, γ = 90.00°
Element x y z (fractional)
K 0.2292 0.2500 0.2605
K 0.7708 0.7500 0.7395
Np 0.3157 0.7500 0.8567
Np 0.6843 0.2500 0.1433
Hg 0.0911 0.2500 0.6166
Hg 0.9089 0.7500 0.3834
Te 0.0861 0.2500 0.8750
Te 0.2432 0.7500 0.5458
Te 0.4583 0.7500 0.1525
Te 0.5417 0.2500 0.8475
Te 0.7568 0.2500 0.4542
Te 0.9139 0.7500 0.1250

Here is a relaxed Cs3AuBrF crystal from Alexandria. Energies are from PBE.

DFT total energy	-3.112	eV/atom
ΔE_f (raw)	-1.548	eV/atom

a = 10.7568 Å, b = 5.0477 Å, c = 11.3098 Å
α = 90.00°, β = 98.97°, γ = 90.00°
Element x y z (fractional)
Cs 0.0949 0.2500 0.3441
Cs 0.3358 0.2500 0.9922
Cs 0.3963 0.7500 0.6584
Cs 0.6037 0.2500 0.3416
Cs 0.6642 0.7500 0.0078
Cs 0.9051 0.7500 0.6559
Au 0.3307 0.7500 0.3013
Au 0.6693 0.2500 0.6987
Br 0.1456 0.2500 0.6646
Br 0.8544 0.7500 0.3354
F 0.4068 0.7500 0.9025
F 0.5932 0.2500 0.0975

Here is a relaxed Sc2NbHg crystal from Alexandria. Energies are from PBE.

DFT total energy	-5.376	eV/atom
energy of formation from the pure elements	0.38	eV/atom

a = 4.2274 Å, b = 4.2274 Å, c = 19.8628 Å
α = 90.00°, β = 90.00°, γ = 90.00°
Element x y z (fractional)
Sc 0.2425 0.2500 0.1250
Sc 0.2500 0.7425 0.3750
Sc 0.2500 0.7575 0.8750
Sc 0.2575 0.2500 0.6250
Sc 0.7425 0.7500 0.6250
Sc 0.7500 0.2425 0.8750
Sc 0.7500 0.2575 0.3750
Sc 0.7575 0.7500 0.1250
Nb 0.0000 0.0000 0.0000
Nb 0.0000 0.5000 0.2500
Nb 0.5000 0.0000 0.7500
Nb 0.5000 0.5000 0.5000
Hg 0.0000 0.0000 0.5000
Hg 0.0000 0.5000 0.7500
Hg 0.5000 0.0000 0.2500
Hg 0.5000 0.5000 0.0000

Here is a relaxed DyTm4Ag crystal from Alexandria. Energies are from PBE.

DFT total energy	-4.302	eV/atom
energy of formation from the pure elements	-0.08	eV/atom
E above lowest polymorph	0.0	meV/atom

a = 3.4958 Å, b = 3.4958 Å, c = 13.8028 Å
α = 90.00°, β = 90.00°, γ = 90.00°
Element x y z (fractional)
Dy 0.0000 0.0000 0.0000
Tm 0.0000 0.0000 0.3623
Tm 0.0000 0.0000 0.6377
Tm 0.5000 0.5000 0.1806
Tm 0.5000 0.5000 0.8194
Ag 0.5000 0.5000 0.5000

Here is a relaxed Pr3Co2Ag crystal from Alexandria. Energies are from PBE.

DFT total energy	-5.289	eV/atom
energy of formation from the pure elements	-0.06	eV/atom

a = 3.9376 Å, b = 9.6886 Å, c = 7.9926 Å
α = 90.00°, β = 90.00°, γ = 90.00°
Element x y z (fractional)
Pr 0.0000 0.0832 0.0000
Pr 0.0000 0.9168 0.5000
Pr 0.5000 0.2286 0.3705
Pr 0.5000 0.3837 0.8018
Pr 0.5000 0.6163 0.3018
Pr 0.5000 0.7714 0.8705
Co 0.0000 0.1888 0.6530
Co 0.0000 0.8112 0.1530
Co 0.5000 0.0858 0.7105
Co 0.5000 0.9142 0.2105
Ag 0.0000 0.4097 0.1181
Ag 0.0000 0.5903 0.6181

Here is a relaxed Nd2DyErTe6 crystal from Alexandria. Energies are from PBE.

DFT total energy	-5.121	eV/atom
ΔE_f (raw)	-1.366	eV/atom

a = 8.3837 Å, b = 8.3837 Å, c = 8.3837 Å
α = 55.64°, β = 55.64°, γ = 55.64°
Element x y z (fractional)
Nd 0.0000 0.0000 0.0000
Nd 0.5001 0.5001 0.5001
Dy 0.1899 0.1899 0.1899
Er 0.6898 0.6898 0.6898
Te 0.0794 0.7982 0.4195
Te 0.3005 0.5807 0.9180
Te 0.4195 0.0794 0.7982
Te 0.5807 0.9180 0.3005
Te 0.7982 0.4195 0.0794
Te 0.9180 0.3005 0.5807

Here is a relaxed UZnSb2 crystal from Alexandria. Energies are from PBE.

DFT total energy	-5.126	eV/atom
ΔE_f (raw)	0.076	eV/atom

a = 4.3182 Å, b = 4.3182 Å, c = 20.1602 Å
α = 90.00°, β = 90.00°, γ = 120.00°
Element x y z (fractional)
U 0.0000 0.0000 0.0000
U 0.3333 0.6667 0.6667
U 0.6667 0.3333 0.3333
Zn 0.0000 0.0000 0.1663
Zn 0.3333 0.6667 0.8330
Zn 0.6667 0.3333 0.4997
Sb 0.0000 0.0000 0.4193
Sb 0.0000 0.0000 0.5774
Sb 0.3333 0.6667 0.0859
Sb 0.3333 0.6667 0.2441
Sb 0.6667 0.3333 0.7526
Sb 0.6667 0.3333 0.9108

Here is a relaxed SmTm4Sc3 crystal from Alexandria. Energies are from PBE.

DFT total energy	-5.180	eV/atom
energy of formation from the pure elements	0.02	eV/atom
E above lowest polymorph	0.0	meV/atom

a = 10.8405 Å, b = 6.9888 Å, c = 6.0189 Å
α = 90.00°, β = 90.00°, γ = 90.00°
Element x y z (fractional)
Sm 0.0000 0.1195 0.0000
Sm 0.5000 0.8805 0.5000
Tm 0.0000 0.3711 0.4972
Tm 0.0000 0.6295 0.9927
Tm 0.2459 0.6297 0.3356
Tm 0.2541 0.3703 0.8356
Tm 0.5000 0.3705 0.4927
Tm 0.5000 0.6289 0.9972
Tm 0.7459 0.3703 0.8356
Tm 0.7541 0.6297 0.3356
Sc 0.0000 0.8769 0.5012
Sc 0.2490 0.1214 0.3305
Sc 0.2510 0.8786 0.8305
Sc 0.5000 0.1231 0.0012
Sc 0.7490 0.8786 0.8305
Sc 0.7510 0.1214 0.3305

Here is a relaxed Sm3Mg2Cd6 crystal from Alexandria. Energies are from PBE.

DFT total energy	-2.247	eV/atom
energy of formation from the pure elements	-0.17	eV/atom

a = 14.6039 Å, b = 14.6039 Å, c = 14.6039 Å
α = 162.39°, β = 162.39°, γ = 25.01°
Element x y z (fractional)
Sm 0.0000 0.0000 0.0000
Sm 0.2050 0.2050 0.0000
Sm 0.7950 0.7950 0.0000
Mg 0.4519 0.4519 0.0000
Mg 0.5481 0.5481 0.0000
Cd 0.1103 0.6103 0.5000
Cd 0.3184 0.3184 0.0000
Cd 0.3897 0.8897 0.5000
Cd 0.6103 0.1103 0.5000
Cd 0.6816 0.6816 0.0000
Cd 0.8897 0.3897 0.5000

Here is a relaxed TmSc4Sn crystal from Alexandria. Energies are from PBE.

DFT total energy	-5.855	eV/atom
energy of formation from the pure elements	-0.22	eV/atom

a = 9.4493 Å, b = 9.4493 Å, c = 9.4822 Å
α = 90.00°, β = 90.00°, γ = 159.17°
Element x y z (fractional)
Tm 0.1037 0.8963 0.7500
Tm 0.8963 0.1037 0.2500
Sc 0.0779 0.9221 0.2500
Sc 0.3272 0.6728 0.5290
Sc 0.3272 0.6728 0.9710
Sc 0.5000 0.5000 0.0000
Sc 0.5000 0.5000 0.5000
Sc 0.6728 0.3272 0.0290
Sc 0.6728 0.3272 0.4710
Sc 0.9221 0.0779 0.7500
Sn 0.2488 0.7512 0.2500
Sn 0.7512 0.2488 0.7500